Version i
Below is LaCd3Ru at its PBEsol-relaxed geometry, with properties calculated at the meta-GGA SCAN level.

abc: 5.712 5.712 5.712
angles: 90.00 90.00 90.00
Positions (direct):
La: 0.000 0.000 0.000
Cd: 0.000 0.000 0.500
Cd: 0.000 0.500 0.000
Cd: 0.500 0.000 0.000
Ru: 0.500 0.500 0.500

Computed properties:
The value obtained for the density of states at the Fermi level is 0.602 states/eV/atom.

Version ii
Below is LaCd3Ru at its PBEsol-relaxed geometry, with properties calculated at the meta-GGA SCAN level.

abc: 5.053 5.053 5.053
angles: 90.00 90.00 90.00
Positions (direct):
La: 0.000 0.000 0.000
Cd: 0.000 0.500 0.500
Cd: 0.500 0.000 0.500
Cd: 0.500 0.500 0.000
Ru: 0.500 0.500 0.500

Computed properties:
The value obtained for the density of states at the Fermi level is 0.620 states/eV/atom.

Most stable structure, least stable structure: version ii, version i.

Version i
Below is La2CdSb at its PBEsol-relaxed geometry, with properties calculated at the meta-GGA SCAN level.

abc: 4.481 6.363 6.363
angles: 42.18 90.00 90.00
Positions (direct):
La: 0.000 0.000 0.000
La: 0.500 0.281 0.281
Cd: 0.500 0.555 0.555
Sb: 0.000 0.723 0.723

Computed properties:
The value obtained for the density of states at the Fermi level is 0.796 states/eV/atom.

Version ii
Below is La2CdSb at its PBEsol-relaxed geometry, with properties calculated at the meta-GGA SCAN level.

abc: 4.063 4.063 6.998
angles: 90.00 90.00 90.00
Positions (direct):
La: 0.000 0.000 0.241
La: 0.000 0.000 0.759
Cd: 0.500 0.500 0.500
Sb: 0.500 0.500 0.000

Computed properties:
The value obtained for the density of states at the Fermi level is 0.475 states/eV/atom.

Version iii
Below is La2CdSb at its PBEsol-relaxed geometry, with properties calculated at the meta-GGA SCAN level.

abc: 5.390 5.390 5.390
angles: 60.00 60.00 60.00
Positions (direct):
La: 0.000 0.000 0.000
La: 0.250 0.250 0.250
Cd: 0.750 0.750 0.750
Sb: 0.500 0.500 0.500

Computed properties:
The value obtained for the density of states at the Fermi level is 1.238 states/eV/atom.

Most stable structure, least stable structure: version i, version iii.

Version i
Below is LaCdSb at its PBEsol-relaxed geometry, with properties calculated at the meta-GGA SCAN level.

abc: 6.167 6.167 6.167
angles: 147.44 140.01 52.49
Positions (direct):
La: 0.000 0.000 0.000
Cd: 0.320 0.320 0.000
Sb: 0.680 0.680 0.000

Computed properties:
The value obtained for the density of states at the Fermi level is 0.439 states/eV/atom.

Version ii
Below is LaCdSb at its PBEsol-relaxed geometry, with properties calculated at the meta-GGA SCAN level.

abc: 5.606 5.606 5.606
angles: 135.76 135.76 64.35
Positions (direct):
La: 0.000 0.000 0.000
Cd: 0.327 0.327 0.000
Sb: 0.654 0.654 0.000

Computed properties:
The value obtained for the density of states at the Fermi level is 0.381 states/eV/atom.

Most stable structure, least stable structure: version i, version ii.

Version i
Below is LaScCd2 at its PBEsol-relaxed geometry, with properties calculated at the meta-GGA SCAN level.

abc: 3.520 3.520 7.884
angles: 90.00 90.00 90.00
Positions (direct):
La: 0.000 0.000 0.000
Sc: 0.000 0.000 0.500
Cd: 0.500 0.500 0.289
Cd: 0.500 0.500 0.711

Computed properties:
The value obtained for the density of states at the Fermi level is 0.819 states/eV/atom.

Version ii
Below is LaScCd2 at its PBEsol-relaxed geometry, with properties calculated at the meta-GGA SCAN level.

abc: 5.330 5.330 3.516
angles: 90.00 90.00 90.00
Positions (direct):
La: 0.000 0.000 0.000
Sc: 0.500 0.500 0.000
Cd: 0.000 0.500 0.500
Cd: 0.500 0.000 0.500

Computed properties:
The value obtained for the density of states at the Fermi level is 0.863 states/eV/atom.

Most stable structure, least stable structure: version i, version ii.

Version i
Below is LaScCd2 at its PBEsol-relaxed geometry, with properties calculated at the meta-GGA SCAN level.

abc: 4.751 4.751 4.406
angles: 90.00 90.00 90.00
Positions (direct):
La: 0.000 0.000 0.000
Sc: 0.500 0.500 0.000
Cd: 0.000 0.500 0.500
Cd: 0.500 0.000 0.500

Computed properties:
The value obtained for the density of states at the Fermi level is 0.981 states/eV/atom.

Version ii
Below is LaScCd2 at its PBEsol-relaxed geometry, with properties calculated at the meta-GGA SCAN level.

abc: 5.222 5.222 5.222
angles: 60.00 60.00 60.00
Positions (direct):
La: 0.000 0.000 0.000
Sc: 0.500 0.500 0.500
Cd: 0.250 0.250 0.250
Cd: 0.750 0.750 0.750

Computed properties:
The value obtained for the density of states at the Fermi level is 0.997 states/eV/atom.

Most stable structure, least stable structure: version ii, version i.

Version i
Below is LaTaCd at its PBEsol-relaxed geometry, with properties calculated at the meta-GGA SCAN level.

abc: 4.950 4.950 4.950
angles: 60.00 60.00 60.00
Positions (direct):
La: 0.000 0.000 0.000
Ta: 0.750 0.750 0.750
Cd: 0.250 0.250 0.250

Computed properties:
The value obtained for the density of states at the Fermi level is 1.145 states/eV/atom.

Version ii
Below is LaTaCd at its PBEsol-relaxed geometry, with properties calculated at the meta-GGA SCAN level.

abc: 5.146 5.146 3.014
angles: 90.00 90.00 120.00
Positions (direct):
La: 0.000 0.000 0.000
Ta: 0.333 0.667 0.500
Cd: 0.667 0.333 0.500

Computed properties:
The value obtained for the density of states at the Fermi level is 1.135 states/eV/atom.

Most stable structure, least stable structure: version ii, version i.